Record 1
{"formula": "KAgAs", "functional": "PBE", "state": "relaxed", "magmom_total_mub_per_cell": 0.0, "e_above_lowest_polymorph_mev_per_atom": 51, "total_energy_ev_per_atom": -3.0640, "formation_enthalpy_0k_ev_per_atom": -0.198, "cell": [[4.4085, 0.0000, 0.0000], [-2.2043, 3.8179, 0.0000], [0.0000, 0.0000, 5.1659]], "species": ["K", "Ag", "As"], "fractional_positions": [[0.3333, 0.6667, 0.6667], [0.0000, 0.0000, 0.1665], [0.6667, 0.3333, 0.1669]]}

Record 2
{"formula": "Ti2GeP2", "functional": "PBE", "state": "relaxed", "magmom_total_mub_per_cell": 0.3, "e_above_lowest_polymorph_mev_per_atom": 19, "total_energy_ev_per_atom": -6.8765, "formation_enthalpy_0k_ev_per_atom": -0.631, "cell": [[3.4003, 0.0000, 0.0000], [0.0000, 3.4003, 0.0000], [1.7001, 1.7001, 6.6358]], "species": ["Ti", "Ti", "P", "P", "Ge"], "fractional_positions": [[0.6097, 0.6097, 0.7806], [0.3903, 0.3903, 0.2194], [0.7500, 0.2500, 0.5000], [0.2500, 0.7500, 0.5000], [0.0000, 0.0000, 0.0000]]}

Record 3
{"formula": "La2NdZrAs4", "functional": "PBE", "state": "relaxed", "magmom_total_mub_per_cell": 0.0, "total_energy_ev_per_atom": -6.6458, "formation_enthalpy_0k_ev_per_atom": -1.425, "cell": [[-3.9981, -0.5602, 1.1557], [2.2032, -2.0446, 6.6309], [-1.0319, 7.2349, -0.0632]], "species": ["Nd", "As", "As", "As", "As", "La", "La", "Zr"], "fractional_positions": [[0.5000, 0.5000, 0.0000], [0.5000, 0.7691, 0.7718], [0.0000, 0.2414, 0.7642], [0.0000, 0.7586, 0.2358], [0.5000, 0.2309, 0.2282], [0.0000, 0.5000, 0.5000], [0.5000, 0.0000, 0.5000], [0.0000, 0.0000, 0.0000]]}

Record 4
{"formula": "Au2Br", "functional": "PBE", "state": "relaxed", "formation_energy_uncorrected_ev_per_atom": 0.3397, "magmom_total_mub_per_cell": 0.0, "e_above_lowest_polymorph_mev_per_atom": 317, "total_energy_ev_per_atom": -2.4028, "cell": [[0.0000, 4.0280, 4.0280], [4.0280, 0.0000, 4.0280], [4.0280, 4.0280, 0.0000]], "species": ["Au", "Au", "Au", "Au", "Br", "Br"], "fractional_positions": [[0.1250, 0.1250, 0.6250], [0.1250, 0.6250, 0.1250], [0.1250, 0.1250, 0.1250], [0.6250, 0.1250, 0.1250], [0.5000, 0.5000, 0.5000], [0.7500, 0.7500, 0.7500]]}

Record 5
{"formula": "Ac15Pr4Mg", "functional": "PBE", "state": "relaxed", "magmom_total_mub_per_cell": 0.0, "total_energy_ev_per_atom": -4.0991, "formation_enthalpy_0k_ev_per_atom": 0.018, "cell": [[-0.6671, -0.5799, -5.4565], [5.4036, -1.0255, -0.5517], [-4.7703, -26.9937, 3.4520]], "species": ["Ac", "Ac", "Ac", "Ac", "Ac", "Ac", "Ac", "Ac", "Ac", "Ac", "Ac", "Ac", "Ac", "Ac", "Ac", "Pr", "Pr", "Pr", "Pr", "Mg"], "fractional_positions": [[0.5000, 0.5000, 0.1980], [0.0000, 0.5000, 0.5000], [0.0000, 0.5000, 0.7016], [0.5000, 0.0000, 0.0981], [0.5000, 0.0000, 0.9019], [0.5000, 0.5000, 0.8020], [0.0000, 0.5000, 0.9019], [0.5000, 0.0000, 0.5000], [0.5000, 0.5000, 0.6010], [0.5000, 0.5000, 0.3990], [0.5000, 0.0000, 0.7016], [0.0000, 0.5000, 0.0981], [0.5000, 0.5000, 0.0000], [0.0000, 0.5000, 0.2984], [0.5000, 0.0000, 0.2984], [0.0000, 0.0000, 0.8026], [0.0000, 0.0000, 0.3996], [0.0000, 0.0000, 0.6004], [0.0000, 0.0000, 0.1974], [0.0000, 0.0000, 0.0000]]}

Record 6
{"formula": "NaCe2Cu2S6", "functional": "PBE", "state": "relaxed", "formation_energy_uncorrected_ev_per_atom": -0.8039, "magmom_total_mub_per_cell": 1.2, "total_energy_ev_per_atom": -4.9988, "cell": [[-6.4429, 0.5943, -1.4789], [-4.3041, -4.6434, 1.9915], [-4.7080, 2.4522, 6.6026]], "species": ["S", "S", "S", "S", "S", "S", "Ce", "Ce", "Cu", "Cu", "Na"], "fractional_positions": [[0.7512, 0.1955, 0.3021], [0.8045, 0.2488, 0.6979], [0.2488, 0.2488, 0.6979], [0.1955, 0.7512, 0.3021], [0.2488, 0.8045, 0.6979], [0.7512, 0.7512, 0.3021], [0.8044, 0.8044, 0.5867], [0.1956, 0.1956, 0.4133], [0.4417, 0.4417, 0.6749], [0.5583, 0.5583, 0.3251], [0.0000, 0.0000, 0.0000]]}

Record 7
{"formula": "LaSe2SBr", "functional": "PBE", "state": "relaxed", "formation_energy_uncorrected_ev_per_atom": -0.1680, "magmom_total_mub_per_cell": 4.0, "e_above_lowest_polymorph_mev_per_atom": 418, "total_energy_ev_per_atom": -3.7073, "cell": [[-5.0101, 0.5686, -3.1110], [-2.8533, -3.3264, 3.9871], [-1.3346, 4.7647, 3.0201]], "species": ["Se", "Se", "S", "La", "Br"], "fractional_positions": [[0.0000, 0.5000, 0.0000], [0.5000, 0.0000, 0.0000], [0.5000, 0.5000, 0.5000], [0.0000, 0.0000, 0.0000], [0.0000, 0.0000, 0.5000]]}